This record from Alexandria via LeMat-Bulk describes Al2V3Ge2 after structural relaxation. The functional is GGA-PBE.

a b c (Å): 3.5266 4.8433 6.7162
angles (deg): 103.96 90.01 111.34
With the nearest neighbours (Å) after each atom.
Positions (direct):
Al (0.8586, 0.7174, 0.5753)  2 Al 2.64, 2 Ge 2.66, 4 V 2.71-2.81
Al (0.1414, 0.2826, 0.4247)  2 Al 2.64, 2 Ge 2.66, 4 V 2.71-2.81
V (0.0000, 0.0000, 0.0000)  4 Ge 2.58, 4 V 2.64, 2 Al 2.81
V (0.7162, 0.4330, 0.1596)  4 Ge 2.55-2.79, 2 V 2.64, 3 Al 2.71-2.75
V (0.2838, 0.5670, 0.8404)  4 Ge 2.55-2.79, 2 V 2.64, 3 Al 2.71-2.75
Ge (0.5714, 0.1431, 0.7595)  6 V 2.55-2.79, 2 Al 2.66
Ge (0.4286, 0.8569, 0.2405)  6 V 2.55-2.79, 2 Al 2.66

## Properties
Spin magnetization (μB per formula unit): 0.0
Space group: C2/m (12)
VASP energy (eV/cell): -45.3
ρ (Mg/m³): 5.7
Fermi-level density of states (states/eV/cell): 3.8